[1]
First-principles (PBE+U) data for an optimized crystal structure of HfWN2O, as listed in the Alexandria database.

Lattice parameters (Å, degrees): 4.0050 4.0050 3.8180 90.00 90.00 90.00
Closest atoms and distances in Å follow each position.
Fractional positions:
N 0.0000 0.5000 0.0000  2 W 2.00
N 0.5000 0.0000 0.0000  2 W 2.00
O 0.0000 0.0000 0.5000  2 W 1.91
W 0.0000 0.0000 0.0000  2 O 1.91, 4 N 2.00
Hf 0.5000 0.5000 0.5000  8 N 2.77, 4 O 2.83

VASP energy, eV/cell: -40.73



[2]
First-principles (PBE+U) data for an optimized crystal structure of HfWNO2, as listed in the Alexandria database.

Lattice parameters (Å, degrees): 3.9808 3.9808 4.0372 90.00 90.00 90.00
Closest atoms and distances in Å follow each position.
Fractional positions:
O 0.0000 0.5000 0.0000  2 W 1.99
O 0.5000 0.0000 0.0000  2 W 1.99
Hf 0.5000 0.5000 0.5000  4 N 2.81, 8 O 2.83
N 0.0000 0.0000 0.5000  2 W 2.02
W 0.0000 0.0000 0.0000  4 O 1.99, 2 N 2.02

VASP energy, eV/cell: -39.24



[3]
First-principles (PBE+U) data for an optimized crystal structure of HfWNO2, as listed in the Alexandria database.

Lattice parameters (Å, degrees): 3.9638 3.9638 4.4220 90.00 90.00 90.00
Closest atoms and distances in Å follow each position.
Fractional positions:
O 0.0000 0.5000 0.0000  2 Hf 1.98
O 0.5000 0.0000 0.0000  2 Hf 1.98
Hf 0.0000 0.0000 0.0000  4 O 1.98, 2 N 2.21
N 0.0000 0.0000 0.5000  2 Hf 2.21
W 0.5000 0.5000 0.5000  4 N 2.80, 8 O 2.97

VASP energy, eV/cell: -40.56



[4]
First-principles (PBE+U) data for an optimized crystal structure of HfWN2O, as listed in the Alexandria database.

Lattice parameters (Å, degrees): 4.2032 4.2032 3.9418 90.00 90.00 90.00
Closest atoms and distances in Å follow each position.
Fractional positions:
Hf 0.0000 0.0000 0.0000  2 O 1.97, 4 N 2.10
N 0.5000 0.0000 0.0000  2 Hf 2.10
N 0.0000 0.5000 0.0000  2 Hf 2.10
W 0.5000 0.5000 0.5000  8 N 2.88, 4 O 2.97
O 0.0000 0.0000 0.5000  2 Hf 1.97

VASP energy, eV/cell: -39.49